VASP calculation (PBE) on a relaxed Cr2InPt crystal.

Cell: 4.8846 4.8846 4.8846 Å, 131.38 131.35 71.24°
Closest atoms and distances in Å follow each position.
Element x y z (fractional)
Pt: 0.2500 0.7500 0.5000  8 Cr 2.83-2.84, 4 In 2.83
Cr: 0.7501 0.2501 0.5000  4 Cr 2.82-2.83, 4 In 2.83, 4 Pt 2.84
Cr: 0.9999 0.9999 0.0000  4 Cr 2.82-2.83, 4 Pt 2.83, 4 In 2.84
In: 0.5001 0.5001 0.0000  8 Cr 2.83-2.84, 4 Pt 2.83

Properties
Magnetic moment: 0.1 μB/f.u.
Crystal system: tetragonal
Symmetry: No. 119
E: -7.08 eV per atom